{
  "formula": "Si2TeRu",
  "functional": "PBE",
  "state": "relaxed",
  "cell": [[4.5756, 0.0000, 0.0000], [2.2878, 3.9626, 0.0000], [2.2878, 1.3209, 3.7360]],
  "species": ["Si", "Te", "Ru", "Si"],
  "fractional_positions": [[0.0000, 0.0000, 0.0000], [0.2500, 0.2500, 0.2500], [0.5000, 0.5000, 0.5000], [0.7500, 0.7500, 0.7500]],
  "sg": "No. 216",
  "magmom_total_mub_per_cell": 0.000,
  "e_form_raw_kj_per_mol_atoms": 47.8
}

{
  "formula": "SiTe2Ru",
  "functional": "PBE",
  "state": "relaxed",
  "cell": [[-0.6419, 0.4460, -3.2254], [2.9032, -1.4448, -0.7775], [-0.3991, -7.9576, -1.0209]],
  "species": ["Si", "Te", "Te", "Ru"],
  "fractional_positions": [[0.5000, 0.7500, 0.7500], [0.0000, 0.9773, 0.0241], [0.0000, 0.5227, 0.4759], [0.5000, 0.2500, 0.2500]],
  "sg": "No. 47",
  "magmom_total_mub_per_cell": 0.004,
  "e_form_raw_kj_per_mol_atoms": 44.1
}

{
  "formula": "SiTe4Ru",
  "functional": "PBE",
  "state": "relaxed",
  "cell": [[0.0000, 4.3776, 4.3776], [4.3776, 0.0000, 4.3776], [4.3776, 4.3776, 0.0000]],
  "species": ["Te", "Si", "Ru", "Te", "Te", "Te"],
  "fractional_positions": [[0.3752, 0.3752, 0.3752], [0.0000, 0.0000, 0.0000], [0.7500, 0.7500, 0.7500], [0.8745, 0.3752, 0.3752], [0.3752, 0.8745, 0.3752], [0.3752, 0.3752, 0.8745]],
  "sg": "No. 216",
  "magmom_total_mub_per_cell": 2.927,
  "e_form_raw_kj_per_mol_atoms": 124.9
}

{
  "formula": "SiTeRu2",
  "functional": "PBE",
  "state": "relaxed",
  "cell": [[0.0000, 3.1453, 3.1453], [3.1453, 0.0000, 3.1453], [3.1453, 3.1453, 0.0000]],
  "species": ["Ru", "Ru", "Si", "Te"],
  "fractional_positions": [[0.7500, 0.7500, 0.7500], [0.2500, 0.2500, 0.2500], [0.0000, 0.0000, 0.0000], [0.5000, 0.5000, 0.5000]],
  "sg": "No. 225",
  "magmom_total_mub_per_cell": 0.949,
  "e_form_raw_kj_per_mol_atoms": 11.5
}

{
  "formula": "Si2TeRu",
  "functional": "PBE",
  "state": "relaxed",
  "cell": [[-2.0433, 0.5713, 2.2606], [-3.3819, -1.3797, -2.7081], [0.5444, -4.5642, 1.6455]],
  "species": ["Si", "Te", "Si", "Ru"],
  "fractional_positions": [[0.0000, 0.0000, 0.0000], [0.5000, 0.0000, 0.5000], [0.5000, 0.5000, 0.0000], [0.0000, 0.5000, 0.5000]],
  "sg": "No. 47",
  "magmom_total_mub_per_cell": 0.000,
  "e_form_raw_kj_per_mol_atoms": 56.8
}

{
  "formula": "SiTe2Ru",
  "functional": "PBE",
  "state": "relaxed",
  "cell": [[4.2894, 0.0054, 0.0495], [2.5869, 3.4215, 0.0495], [1.2374, 0.6167, 7.0139]],
  "species": ["Ru", "Te", "Te", "Si"],
  "fractional_positions": [[0.4912, 0.4912, 0.4010], [0.7866, 0.7866, 0.6294], [0.0255, 0.0255, 0.1052], [0.1966, 0.1966, 0.3645]],
  "sg": "No. 8",
  "magmom_total_mub_per_cell": 0.000,
  "e_form_raw_kj_per_mol_atoms": -8.0
}

{
  "formula": "Si2TeRu",
  "functional": "PBE",
  "state": "relaxed",
  "cell": [[-2.7761, -3.3466, -0.0896], [0.9853, -3.9462, 1.5399], [-1.7718, 1.2288, 4.5419]],
  "species": ["Si", "Te", "Si", "Ru"],
  "fractional_positions": [[0.9251, 0.9251, 0.2300], [0.7500, 0.7500, 0.7500], [0.5749, 0.5749, 0.2700], [0.2500, 0.2500, 0.2500]],
  "sg": "No. 12",
  "magmom_total_mub_per_cell": 0.000,
  "e_form_raw_kj_per_mol_atoms": 12.2
}

{
  "formula": "SiTeRu4",
  "functional": "PBE",
  "state": "relaxed",
  "cell": [[0.0000, 3.6600, 3.6600], [3.6600, 0.0000, 3.6600], [3.6600, 3.6600, 0.0000]],
  "species": ["Ru", "Te", "Si", "Ru", "Ru", "Ru"],
  "fractional_positions": [[0.6247, 0.6247, 0.6247], [0.0000, 0.0000, 0.0000], [0.2500, 0.2500, 0.2500], [0.6247, 0.1258, 0.6247], [0.6247, 0.6247, 0.1258], [0.1258, 0.6247, 0.6247]],
  "sg": "No. 216",
  "magmom_total_mub_per_cell": 0.003,
  "e_form_raw_kj_per_mol_atoms": 66.4
}

{
  "formula": "SiTe2Ru",
  "functional": "PBE",
  "state": "relaxed",
  "cell": [[8.4266, 0.0150, -0.0115], [6.9905, 4.7053, 0.0115], [-7.5435, -2.8993, 2.3869]],
  "species": ["Te", "Si", "Te", "Ru"],
  "fractional_positions": [[0.8983, 0.8983, 0.0000], [0.2500, 0.7500, 0.5000], [0.6017, 0.6017, 0.0000], [0.7500, 0.2500, 0.5000]],
  "sg": "No. 71",
  "magmom_total_mub_per_cell": 0.000,
  "e_form_raw_kj_per_mol_atoms": 2.0
}

{
  "formula": "SiTeRu2",
  "functional": "PBE",
  "state": "relaxed",
  "cell": [[4.6900, 0.0083, 0.0003], [0.7876, 4.6234, -0.0003], [-2.3201, -2.8110, 2.9515]],
  "species": ["Ru", "Ru", "Te", "Si"],
  "fractional_positions": [[0.4597, 0.4597, 0.0000], [0.0403, 0.0403, 0.0000], [0.7500, 0.2500, 0.5000], [0.2500, 0.7500, 0.5000]],
  "sg": "No. 71",
  "magmom_total_mub_per_cell": 0.000,
  "e_form_raw_kj_per_mol_atoms": 9.6
}

{
  "formula": "Si3TeRu",
  "functional": "PBE",
  "state": "relaxed",
  "cell": [[-4.1631, -2.1427, 0.1865], [2.1486, -4.1247, 0.5730], [-0.0978, 0.5946, 4.6470]],
  "species": ["Te", "Si", "Si", "Ru", "Si"],
  "fractional_positions": [[0.5000, 0.5000, 0.5000], [0.5000, 0.0000, 0.0000], [0.0000, 0.5000, 0.0000], [0.0000, 0.0000, 0.0000], [0.0000, 0.0000, 0.5000]],
  "sg": "No. 221",
  "e_above_lowest_polymorph_mev_per_atom": 0.0,
  "magmom_total_mub_per_cell": 0.000,
  "e_form_raw_kj_per_mol_atoms": 17.8
}

{
  "formula": "SiTeRu2",
  "functional": "PBE",
  "state": "relaxed",
  "cell": [[4.3001, 0.0083, -0.0027], [3.2183, 2.8519, -0.0027], [1.1629, 0.4424, 5.2165]],
  "species": ["Ru", "Ru", "Si", "Te"],
  "fractional_positions": [[0.4879, 0.4879, 0.5292], [0.0121, 0.0121, 0.9708], [0.7500, 0.7500, 0.7500], [0.2500, 0.2500, 0.2500]],
  "sg": "No. 12",
  "magmom_total_mub_per_cell": 0.000,
  "e_form_raw_kj_per_mol_atoms": 3.5
}

{
  "formula": "Si2TeRu",
  "functional": "PBE",
  "state": "relaxed",
  "cell": [[4.6818, -0.0026, 0.0000], [-1.3050, 4.4963, 0.0000], [0.0000, 0.0000, 3.1816]],
  "species": ["Si", "Si", "Ru", "Te"],
  "fractional_positions": [[0.5000, 0.5000, 0.0000], [0.0000, 0.0000, 0.0000], [0.0000, 0.5000, 0.5000], [0.5000, 0.0000, 0.5000]],
  "sg": "No. 65",
  "magmom_total_mub_per_cell": 0.000,
  "e_form_raw_kj_per_mol_atoms": 51.7
}

{
  "formula": "Si2TeRu",
  "functional": "PBE",
  "state": "relaxed",
  "cell": [[8.1777, -0.0455, -0.0269], [7.5621, 3.1132, -0.0269], [7.5621, 1.4739, 2.7423]],
  "species": ["Si", "Si", "Te", "Ru"],
  "fractional_positions": [[0.4844, 0.4844, 0.4844], [0.0156, 0.0156, 0.0156], [0.2500, 0.2500, 0.2500], [0.7500, 0.7500, 0.7500]],
  "sg": "No. 166",
  "magmom_total_mub_per_cell": 0.000,
  "e_form_raw_kj_per_mol_atoms": 13.1
}

{
  "formula": "SiTe2Ru2",
  "functional": "PBE",
  "state": "relaxed",
  "cell": [[-3.8106, -0.4600, 3.8123], [-1.2929, -4.9036, -1.8839], [-0.1831, -4.1480, 3.1549]],
  "species": ["Te", "Ru", "Ru", "Te", "Si"],
  "fractional_positions": [[0.7500, 0.2500, 0.5000], [0.3154, 0.3154, 0.3692], [0.6846, 0.6846, 0.6308], [0.2500, 0.7500, 0.5000], [0.0000, 0.0000, 0.0000]],
  "sg": "No. 139",
  "e_above_lowest_polymorph_mev_per_atom": 0.0,
  "magmom_total_mub_per_cell": 0.000,
  "e_form_raw_kj_per_mol_atoms": 34.7
}

{
  "formula": "SiTeRu2",
  "functional": "PBE",
  "state": "relaxed",
  "cell": [[8.1503, -0.0069, -0.0041], [7.5362, 3.1036, -0.0041], [7.5362, 1.4877, 2.7238]],
  "species": ["Ru", "Si", "Te", "Ru"],
  "fractional_positions": [[0.2406, 0.2406, 0.2406], [0.5121, 0.5121, 0.5121], [0.7456, 0.7456, 0.7456], [0.0017, 0.0017, 0.0017]],
  "sg": "No. 160",
  "magmom_total_mub_per_cell": 0.000,
  "e_form_raw_kj_per_mol_atoms": 31.4
}

{
  "formula": "SiTe2Ru",
  "functional": "PBE",
  "state": "relaxed",
  "cell": [[4.2321, 0.0000, 0.0000], [0.0000, 4.1030, 0.0007], [0.0000, 1.1674, 5.8239]],
  "species": ["Ru", "Si", "Te", "Te"],
  "fractional_positions": [[0.0000, 0.5165, 0.5973], [0.5000, 0.7299, 0.6563], [0.0000, 0.9565, 0.8938], [0.5000, 0.2971, 0.3526]],
  "sg": "No. 6",
  "magmom_total_mub_per_cell": 0.000,
  "e_form_raw_kj_per_mol_atoms": 3.3
}

{
  "formula": "SiTeRu2",
  "functional": "PBE",
  "state": "relaxed",
  "cell": [[4.4916, 0.0081, 0.0000], [-0.3051, 4.4812, 0.0000], [0.0000, 0.0000, 3.0980]],
  "species": ["Si", "Ru", "Te", "Ru"],
  "fractional_positions": [[0.5000, 0.0000, 0.5000], [0.0000, 0.0000, 0.0000], [0.0000, 0.5000, 0.5000], [0.5000, 0.5000, 0.0000]],
  "sg": "No. 65",
  "magmom_total_mub_per_cell": 0.000,
  "e_form_raw_kj_per_mol_atoms": 12.5
}

{
  "formula": "Si2TeRu",
  "functional": "PBE",
  "state": "relaxed",
  "cell": [[-1.1094, -2.8092, -0.2189], [2.1786, -0.7060, -1.9812], [4.4322, -2.1910, 5.6546]],
  "species": ["Ru", "Si", "Te", "Si"],
  "fractional_positions": [[0.5000, 0.5000, 0.7500], [0.0000, 0.0000, 0.9398], [0.5000, 0.5000, 0.2500], [0.0000, 0.0000, 0.5602]],
  "sg": "No. 123",
  "magmom_total_mub_per_cell": 0.000,
  "e_form_raw_kj_per_mol_atoms": 9.3
}

{
  "formula": "SiTe3Ru",
  "functional": "PBE",
  "state": "relaxed",
  "cell": [[5.0905, 0.0000, 0.0000], [0.0000, 5.0905, 0.0000], [0.0000, 0.0000, 5.0905]],
  "species": ["Te", "Te", "Te", "Si", "Ru"],
  "fractional_positions": [[0.0000, 0.0000, 0.5000], [0.5000, 0.0000, 0.0000], [0.0000, 0.5000, 0.0000], [0.0000, 0.0000, 0.0000], [0.5000, 0.5000, 0.5000]],
  "sg": "No. 221",
  "e_above_lowest_polymorph_mev_per_atom": 412.3,
  "magmom_total_mub_per_cell": 0.000,
  "e_form_raw_kj_per_mol_atoms": 113.4
}

{
  "formula": "SiTe2Ru",
  "functional": "PBE",
  "state": "relaxed",
  "cell": [[-2.7463, 0.8216, -2.7231], [0.6238, -1.0032, -3.7732], [-3.4537, -5.7226, -1.1397]],
  "species": ["Ru", "Te", "Te", "Si"],
  "fractional_positions": [[0.7500, 0.7500, 0.7500], [0.4930, 0.4930, 0.5214], [0.0070, 0.0070, 0.9786], [0.2500, 0.2500, 0.2500]],
  "sg": "No. 12",
  "magmom_total_mub_per_cell": 0.000,
  "e_form_raw_kj_per_mol_atoms": 27.3
}

{
  "formula": "SiTeRu",
  "functional": "PBE",
  "state": "relaxed",
  "cell": [[3.3514, 0.0000, 0.0000], [-1.6757, 2.9024, 0.0000], [0.0000, 0.0000, 5.6517]],
  "species": ["Ru", "Si", "Te"],
  "fractional_positions": [[0.0000, 0.0000, 0.0292], [0.6667, 0.3333, 0.2889], [0.3333, 0.6667, 0.6819]],
  "sg": "No. 156",
  "magmom_total_mub_per_cell": 0.000,
  "e_form_raw_kj_per_mol_atoms": 10.4
}

{
  "formula": "Si2TeRu",
  "functional": "PBE",
  "state": "relaxed",
  "cell": [[7.4703, 0.0468, 0.0280], [6.6874, 3.3296, 0.0280], [6.6874, 1.5949, 2.9230]],
  "species": ["Si", "Ru", "Te", "Si"],
  "fractional_positions": [[0.2603, 0.2603, 0.2603], [0.7388, 0.7388, 0.7388], [0.4983, 0.4983, 0.4983], [0.0027, 0.0027, 0.0027]],
  "sg": "No. 160",
  "magmom_total_mub_per_cell": 0.001,
  "e_form_raw_kj_per_mol_atoms": 27.8
}

{
  "formula": "SiTeRu",
  "functional": "PBE",
  "state": "relaxed",
  "cell": [[6.3516, 0.0137, -0.0145], [5.6193, 2.9609, -0.0097], [0.7324, 0.1771, 2.9419]],
  "species": ["Ru", "Te", "Si"],
  "fractional_positions": [[0.0188, 0.0188, 0.9812], [0.3543, 0.3543, 0.6457], [0.6270, 0.6270, 0.3730]],
  "sg": "No. 107",
  "magmom_total_mub_per_cell": 0.000,
  "e_form_raw_kj_per_mol_atoms": 13.7
}

{
  "formula": "Si4TeRu",
  "functional": "PBE",
  "state": "relaxed",
  "cell": [[2.8038, -4.3769, -0.0374], [2.5265, -1.5048, 4.2863], [-1.6362, -4.1574, 2.6568]],
  "species": ["Si", "Te", "Si", "Ru", "Si", "Si"],
  "fractional_positions": [[0.3747, 0.3747, 0.3747], [0.7500, 0.7500, 0.7500], [0.3747, 0.3747, 0.8759], [0.0000, 0.0000, 0.0000], [0.3747, 0.8759, 0.3747], [0.8759, 0.3747, 0.3747]],
  "sg": "No. 216",
  "magmom_total_mub_per_cell": 0.697,
  "e_form_raw_kj_per_mol_atoms": 70.4
}

{
  "formula": "SiTeRu2",
  "functional": "PBE",
  "state": "relaxed",
  "cell": [[4.7021, 0.0000, 0.0000], [0.0000, 3.1231, -0.0201], [0.0000, 0.0288, 4.3590]],
  "species": ["Si", "Ru", "Te", "Ru"],
  "fractional_positions": [[0.0000, 0.3749, 0.4711], [0.0000, 0.8751, 0.0184], [0.5000, 0.8749, 0.7531], [0.5000, 0.3750, 0.2574]],
  "sg": "No. 25",
  "magmom_total_mub_per_cell": 0.000,
  "e_form_raw_kj_per_mol_atoms": -0.2
}

{
  "formula": "SiTeRu2",
  "functional": "PBE",
  "state": "relaxed",
  "cell": [[-3.0568, 3.2611, 2.7147], [-2.0459, -3.5247, -3.1260], [-0.9313, -2.3519, 1.7380]],
  "species": ["Ru", "Ru", "Te", "Si"],
  "fractional_positions": [[0.0000, 0.0000, 0.0000], [0.5000, 0.0000, 0.5000], [0.5000, 0.5000, 0.0000], [0.0000, 0.5000, 0.5000]],
  "sg": "No. 12",
  "magmom_total_mub_per_cell": 0.000,
  "e_form_raw_kj_per_mol_atoms": 42.4
}

{
  "formula": "Si2TeRu",
  "functional": "PBE",
  "state": "relaxed",
  "cell": [[-3.6703, 1.6565, -0.6285], [-3.3759, -1.6496, 1.5786], [-2.2730, 3.1440, 5.0126]],
  "species": ["Si", "Ru", "Te", "Si"],
  "fractional_positions": [[0.9863, 0.9863, 0.0722], [0.2896, 0.2896, 0.1349], [0.4879, 0.4879, 0.4299], [0.7361, 0.7361, 0.8631]],
  "sg": "No. 8",
  "magmom_total_mub_per_cell": 0.000,
  "e_form_raw_kj_per_mol_atoms": 5.7
}

{
  "formula": "SiTe2Ru",
  "functional": "PBE",
  "state": "relaxed",
  "cell": [[-1.7031, 2.2230, 8.6014], [-1.7576, -1.5213, 8.7420], [1.5056, 0.3129, 8.9141]],
  "species": ["Ru", "Te", "Te", "Si"],
  "fractional_positions": [[0.5000, 0.5000, 0.5000], [0.1092, 0.1092, 0.1092], [0.8908, 0.8908, 0.8908], [0.0000, 0.0000, 0.0000]],
  "sg": "No. 166",
  "magmom_total_mub_per_cell": 0.000,
  "e_form_raw_kj_per_mol_atoms": 42.0
}

{
  "formula": "Si2TeRu",
  "functional": "PBE",
  "state": "relaxed",
  "cell": [[6.5463, 0.0053, -0.0078], [4.6472, 4.6106, 0.0078], [-5.3677, -2.8635, 2.4172]],
  "species": ["Si", "Ru", "Te", "Si"],
  "fractional_positions": [[0.0841, 0.0841, 0.0000], [0.2513, 0.7513, 0.5000], [0.4431, 0.4431, 0.0000], [0.7215, 0.2215, 0.5000]],
  "sg": "No. 44",
  "magmom_total_mub_per_cell": 0.000,
  "e_form_raw_kj_per_mol_atoms": 12.4
}

no.,DOS(E_F) (states/eV per atom)
1,0.7737
2,1.0243
3,1.4487
4,1.1994
5,1.0679
6,0.2033
7,0.2132
8,1.4418
9,0.5550
10,0.5162
11,0.1518
12,0.8293
13,0.6682
14,0.7118
15,0.3240
16,1.2160
17,0.4625
18,0.8434
19,0.4439
20,1.1506
21,0.7066
22,0.7265
23,0.8847
24,0.8840
25,0.9522
26,0.6922
27,0.7933
28,0.0868
29,0.7861
30,0.6128